PBE-GGA TbTmGaTc, relaxed; space group = No. 216; DFT total energy = -5.88 eV/atom
1.0
6.968 0.000 0.000
0.000 6.968 0.000
0.000 0.000 6.968
Tb Tm Ga Tc
4 4 4 4
Cartesian
0.000 0.000 0.000
0.000 3.484 3.484
3.484 0.000 3.484
3.484 3.484 0.000
0.000 0.000 3.484
0.000 3.484 0.000
3.484 0.000 0.000
3.484 3.484 3.484
1.742 1.742 1.742
1.742 5.226 5.226
5.226 1.742 5.226
5.226 5.226 1.742
1.742 1.742 5.226
1.742 5.226 1.742
5.226 1.742 1.742
5.226 5.226 5.226



PBE-GGA Tl2CrSbSe, relaxed; formation energy without anion corrections = 0.543 eV per atom; space group = No. 123; DFT total energy = -3.85 eV/atom
1.0
5.828 0.000 0.000
0.000 5.828 0.000
0.000 0.000 5.197
Tl Cr Sb Se
2 1 1 1
Cartesian
0.000 2.914 0.000
2.914 0.000 0.000
0.000 0.000 2.598
0.000 0.000 0.000
2.914 2.914 2.598